#w
InAu3S | PBE | relaxed

Summary:
Density of states at the Fermi level: 3.34 states/eV per cell
V: 141.1 Å³/cell

```
data_InAu3S
_chemical_formula_sum 'In1 Au3 S1'
_cell_length_a 5.206
_cell_length_b 5.206
_cell_length_c 5.206
_cell_angle_alpha 90.00
_cell_angle_beta 90.00
_cell_angle_gamma 90.00
_symmetry_space_group_name_H-M 'P 1'
_symmetry_Int_Tables_number 1
_symmetry_space_group_name_Hall 'P 1'
loop_
_atom_site_label
_atom_site_type_symbol
_atom_site_fract_x
_atom_site_fract_y
_atom_site_fract_z
S1 S 0.500 0.500 0.500
Au1 Au 0.000 0.500 0.000
Au2 Au 0.000 0.000 0.500
Au3 Au 0.500 0.000 0.000
In1 In 0.000 0.000 0.000
```

---

#x
InAu3S | PBE | relaxed

Summary:
Density of states at the Fermi level: 2.65 states/eV per cell
V: 119.0 Å³/cell

```
data_InAu3S
_chemical_formula_sum 'In1 Au3 S1'
_cell_length_a 4.919
_cell_length_b 4.919
_cell_length_c 4.919
_cell_angle_alpha 90.00
_cell_angle_beta 90.00
_cell_angle_gamma 90.00
_symmetry_space_group_name_H-M 'P 1'
_symmetry_Int_Tables_number 1
_symmetry_space_group_name_Hall 'P 1'
loop_
_atom_site_label
_atom_site_type_symbol
_atom_site_fract_x
_atom_site_fract_y
_atom_site_fract_z
S1 S 0.000 0.000 0.000
Au1 Au 0.000 0.500 0.000
Au2 Au 0.000 0.000 0.500
Au3 Au 0.500 0.000 0.000
In1 In 0.500 0.500 0.500
```

---

Which is the most stable structure? #x is the most stable.

---

#w
In3AuS | PBE | relaxed

Summary:
Density of states at the Fermi level: 2.07 states/eV per cell
V: 151.0 Å³/cell

```
data_In3AuS
_chemical_formula_sum 'In3 Au1 S1'
_cell_length_a 5.325
_cell_length_b 5.325
_cell_length_c 5.325
_cell_angle_alpha 90.00
_cell_angle_beta 90.00
_cell_angle_gamma 90.00
_symmetry_space_group_name_H-M 'P 1'
_symmetry_Int_Tables_number 1
_symmetry_space_group_name_Hall 'P 1'
loop_
_atom_site_label
_atom_site_type_symbol
_atom_site_fract_x
_atom_site_fract_y
_atom_site_fract_z
S1 S 0.000 0.000 0.000
Au1 Au 0.500 0.500 0.500
In1 In 0.000 0.500 0.000
In2 In 0.000 0.000 0.500
In3 In 0.500 0.000 0.000
```

---

#x
In3AuS | PBE | relaxed

Summary:
Density of states at the Fermi level: 0.60 states/eV per cell
V: 145.3 Å³/cell

```
data_In3AuS
_chemical_formula_sum 'In3 Au1 S1'
_cell_length_a 5.258
_cell_length_b 5.258
_cell_length_c 5.258
_cell_angle_alpha 90.00
_cell_angle_beta 90.00
_cell_angle_gamma 90.00
_symmetry_space_group_name_H-M 'P 1'
_symmetry_Int_Tables_number 1
_symmetry_space_group_name_Hall 'P 1'
loop_
_atom_site_label
_atom_site_type_symbol
_atom_site_fract_x
_atom_site_fract_y
_atom_site_fract_z
S1 S 0.500 0.500 0.500
Au1 Au 0.000 0.000 0.000
In1 In 0.000 0.500 0.000
In2 In 0.000 0.000 0.500
In3 In 0.500 0.000 0.000
```

---

Which is the most stable structure? #x is the most stable.

---

#w
InSbAu2 | PBE | relaxed

Summary:
Density of states at the Fermi level: 2.44 states/eV per cell
V: 87.4 Å³/cell

```
data_InSbAu2
_chemical_formula_sum 'In1 Sb1 Au2'
_cell_length_a 5.494
_cell_length_b 5.494
_cell_length_c 5.494
_cell_angle_alpha 132.89
_cell_angle_beta 132.89
_cell_angle_gamma 68.83
_symmetry_space_group_name_H-M 'P 1'
_symmetry_Int_Tables_number 1
_symmetry_space_group_name_Hall 'P 1'
loop_
_atom_site_label
_atom_site_type_symbol
_atom_site_fract_x
_atom_site_fract_y
_atom_site_fract_z
Au1 Au 0.000 0.000 0.000
Au2 Au 0.250 0.750 0.500
In1 In 0.500 0.500 0.000
Sb1 Sb 0.750 0.250 0.500
```

---

#x
InSbAu2 | PBE | relaxed

Summary:
Density of states at the Fermi level: 1.30 states/eV per cell
V: 87.3 Å³/cell

```
data_InSbAu2
_chemical_formula_sum 'In1 Sb1 Au2'
_cell_length_a 4.669
_cell_length_b 4.671
_cell_length_c 4.004
_cell_angle_alpha 90.00
_cell_angle_beta 90.00
_cell_angle_gamma 90.00
_symmetry_space_group_name_H-M 'P 1'
_symmetry_Int_Tables_number 1
_symmetry_space_group_name_Hall 'P 1'
loop_
_atom_site_label
_atom_site_type_symbol
_atom_site_fract_x
_atom_site_fract_y
_atom_site_fract_z
Au1 Au 0.000 0.000 0.000
Au2 Au 0.500 0.500 0.000
In1 In 0.500 0.000 0.500
Sb1 Sb 0.000 0.500 0.500
```

---

Which is the most stable structure? #x is the most stable.

---

#w
InSbAu2 | PBE | relaxed

Summary:
Density of states at the Fermi level: 1.09 states/eV per cell
V: 88.5 Å³/cell

```
data_InSbAu2
_chemical_formula_sum 'In1 Sb1 Au2'
_cell_length_a 5.486
_cell_length_b 5.486
_cell_length_c 2.943
_cell_angle_alpha 90.00
_cell_angle_beta 90.00
_cell_angle_gamma 89.53
_symmetry_space_group_name_H-M 'P 1'
_symmetry_Int_Tables_number 1
_symmetry_space_group_name_Hall 'P 1'
loop_
_atom_site_label
_atom_site_type_symbol
_atom_site_fract_x
_atom_site_fract_y
_atom_site_fract_z
Au1 Au 0.000 0.000 0.000
Au2 Au 0.500 0.500 0.000
In1 In 0.500 0.000 0.500
Sb1 Sb 0.000 0.500 0.500
```

---

#x
InSbAu2 | PBE | relaxed

Summary:
Density of states at the Fermi level: 1.63 states/eV per cell
V: 94.5 Å³/cell

```
data_InSbAu2
_chemical_formula_sum 'In1 Sb1 Au2'
_cell_length_a 4.042
_cell_length_b 4.042
_cell_length_c 7.083
_cell_angle_alpha 73.40
_cell_angle_beta 73.40
_cell_angle_gamma 59.89
_symmetry_space_group_name_H-M 'P 1'
_symmetry_Int_Tables_number 1
_symmetry_space_group_name_Hall 'P 1'
loop_
_atom_site_label
_atom_site_type_symbol
_atom_site_fract_x
_atom_site_fract_y
_atom_site_fract_z
Sb1 Sb 0.750 0.750 0.750
Au1 Au 0.000 0.000 0.999
Au2 Au 0.500 0.500 0.501
In1 In 0.250 0.250 0.250
```

---

Which is the most stable structure? #x is the most stable.

---

#w
InSbAu2 | PBE | relaxed

Summary:
Density of states at the Fermi level: 1.95 states/eV per cell
V: 87.5 Å³/cell

```
data_InSbAu2
_chemical_formula_sum 'In1 Sb1 Au2'
_cell_length_a 5.254
_cell_length_b 5.254
_cell_length_c 5.254
_cell_angle_alpha 127.99
_cell_angle_beta 127.99
_cell_angle_gamma 76.63
_symmetry_space_group_name_H-M 'P 1'
_symmetry_Int_Tables_number 1
_symmetry_space_group_name_Hall 'P 1'
loop_
_atom_site_label
_atom_site_type_symbol
_atom_site_fract_x
_atom_site_fract_y
_atom_site_fract_z
Au1 Au 0.000 0.000 0.000
Au2 Au 0.500 0.500 0.000
In1 In 0.250 0.750 0.500
Sb1 Sb 0.750 0.250 0.500
```

---

#x
InSbAu2 | PBE | relaxed

Summary:
Density of states at the Fermi level: 1.61 states/eV per cell
V: 90.5 Å³/cell

```
data_InSbAu2
_chemical_formula_sum 'In1 Sb1 Au2'
_cell_length_a 3.776
_cell_length_b 4.318
_cell_length_c 5.739
_cell_angle_alpha 75.33
_cell_angle_beta 90.00
_cell_angle_gamma 90.00
_symmetry_space_group_name_H-M 'P 1'
_symmetry_Int_Tables_number 1
_symmetry_space_group_name_Hall 'P 1'
loop_
_atom_site_label
_atom_site_type_symbol
_atom_site_fract_x
_atom_site_fract_y
_atom_site_fract_z
Sb1 Sb 0.500 0.815 0.834
Au1 Au 0.000 0.289 0.932
Au2 Au 0.500 0.959 0.320
In1 In 0.000 0.438 0.414
```

---

#y
InSbAu2 | PBE | relaxed

Summary:
Density of states at the Fermi level: 1.19 states/eV per cell
V: 95.2 Å³/cell

```
data_InSbAu2
_chemical_formula_sum 'In1 Sb1 Au2'
_cell_length_a 3.878
_cell_length_b 4.243
_cell_length_c 5.786
_cell_angle_alpha 90.00
_cell_angle_beta 90.00
_cell_angle_gamma 90.00
_symmetry_space_group_name_H-M 'P 1'
_symmetry_Int_Tables_number 1
_symmetry_space_group_name_Hall 'P 1'
loop_
_atom_site_label
_atom_site_type_symbol
_atom_site_fract_x
_atom_site_fract_y
_atom_site_fract_z
Sb1 Sb 0.500 0.500 0.875
Au1 Au 0.000 0.000 0.875
Au2 Au 0.500 0.500 0.375
In1 In 0.000 0.000 0.375
```

---

#z
InSbAu2 | PBE | relaxed

Summary:
Density of states at the Fermi level: 1.06 states/eV per cell
V: 87.9 Å³/cell

```
data_InSbAu2
_chemical_formula_sum 'In1 Sb1 Au2'
_cell_length_a 3.467
_cell_length_b 3.467
_cell_length_c 7.337
_cell_angle_alpha 90.00
_cell_angle_beta 90.00
_cell_angle_gamma 85.06
_symmetry_space_group_name_H-M 'P 1'
_symmetry_Int_Tables_number 1
_symmetry_space_group_name_Hall 'P 1'
loop_
_atom_site_label
_atom_site_type_symbol
_atom_site_fract_x
_atom_site_fract_y
_atom_site_fract_z
Au1 Au 0.000 0.000 0.011
Au2 Au 0.000 0.000 0.489
In1 In 0.500 0.500 0.250
Sb1 Sb 0.500 0.500 0.750
```

---

Which is the most stable structure? #x is the most stable.

---

#w
InSbAu2 | PBE | relaxed

Summary:
Density of states at the Fermi level: 3.71 states/eV per cell
V: 201.6 Å³/cell

```
data_InSbAu2
_chemical_formula_sum 'In2 Sb2 Au4'
_cell_length_a 4.826
_cell_length_b 4.826
_cell_length_c 9.305
_cell_angle_alpha 74.97
_cell_angle_beta 74.97
_cell_angle_gamma 90.00
_symmetry_space_group_name_H-M 'P 1'
_symmetry_Int_Tables_number 1
_symmetry_space_group_name_Hall 'P 1'
loop_
_atom_site_label
_atom_site_type_symbol
_atom_site_fract_x
_atom_site_fract_y
_atom_site_fract_z
Sb1 Sb 0.000 0.000 0.000
Sb2 Sb 0.750 0.250 0.500
Au1 Au 0.638 0.125 0.250
Au2 Au 0.112 0.625 0.250
Au3 Au 0.375 0.362 0.750
Au4 Au 0.875 0.888 0.750
In1 In 0.500 0.500 0.000
In2 In 0.250 0.750 0.500
```

---

#x
InSbAu2 | PBE | relaxed

Summary:
Density of states at the Fermi level: 1.58 states/eV per cell
V: 97.4 Å³/cell

```
data_InSbAu2
_chemical_formula_sum 'In1 Sb1 Au2'
_cell_length_a 7.402
_cell_length_b 7.402
_cell_length_c 7.402
_cell_angle_alpha 31.34
_cell_angle_beta 31.34
_cell_angle_gamma 31.34
_symmetry_space_group_name_H-M 'P 1'
_symmetry_Int_Tables_number 1
_symmetry_space_group_name_Hall 'P 1'
loop_
_atom_site_label
_atom_site_type_symbol
_atom_site_fract_x
_atom_site_fract_y
_atom_site_fract_z
Au1 Au 0.999 0.999 0.999
Au2 Au 0.254 0.254 0.254
In1 In 0.512 0.512 0.512
Sb1 Sb 0.736 0.736 0.736
```

---

Which is the most stable structure? #x is the most stable.